The following is a DFT calculation (PBE) of crystalline Nd8ZnGe2 at its relaxed geometry.

Energy of formation from the pure elements in eV per atom: -0.318
Magnetic moment in μB per formula unit: 0.0
ρ in g/cm³: 6.96
E_tot in eV per atom: -4.741

The structure in POSCAR format:
```
Nd8ZnGe2
1.0
-4.256 -2.548 0.719
3.535 -4.995 3.225
-0.273 7.303 6.790
Nd Ge Zn
8 2 1
Cartesian
2.635 -3.603 2.831
-0.113 2.307 7.505
-1.613 4.065 4.858
-0.881 -2.548 3.230
-1.156 -1.123 6.652
-3.629 3.362 7.903
0.618 -4.305 5.877
0.161 0.883 4.083
1.795 -1.574 5.049
-2.789 1.334 5.686
-2.128 -1.274 0.359
```